1.
# KSi2Ru

Crystalline KSi2Ru at its relaxed geometry (PBE, the Alexandria database).

Computed properties:
- Formation energy without anion corrections: 0.6259 eV/atom

CIF file:
```
data_KSi2Ru
_cell_length_a 6.4342
_cell_length_b 6.4342
_cell_length_c 6.4342
_cell_angle_alpha 90.00
_cell_angle_beta 90.00
_cell_angle_gamma 90.00
_space_group_name_H-M_alt 'F m -3 m'
_space_group_IT_number 225
_space_group_name_Hall '-F 4 2 3'
loop_
_atom_site_label
_atom_site_fract_x
_atom_site_fract_y
_atom_site_fract_z
K1 0.0000 0.0000 0.0000
Si1 0.2500 0.2500 0.2500
Ru1 0.0000 0.0000 0.5000
```



2.
# KSiRu2

Crystalline KSiRu2 at its relaxed geometry (PBE, the Alexandria database).

Computed properties:
- Formation energy without anion corrections: 1.0989 eV/atom

CIF file:
```
data_KSiRu2
_cell_length_a 2.8758
_cell_length_b 4.4364
_cell_length_c 5.1863
_cell_angle_alpha 90.00
_cell_angle_beta 90.00
_cell_angle_gamma 90.00
_space_group_name_H-M_alt 'P m m m'
_space_group_IT_number 47
_space_group_name_Hall '-P 2 2'
loop_
_atom_site_label
_atom_site_fract_x
_atom_site_fract_y
_atom_site_fract_z
K1 0.0000 0.0000 0.0000
Si1 0.5000 0.0000 0.5000
Ru1 0.0000 0.5000 0.5000
Ru2 0.5000 0.5000 0.0000
```



3.
# KSi2Ru

Crystalline KSi2Ru at its relaxed geometry (PBE, the Alexandria database).

Computed properties:
- Formation energy without anion corrections: 0.4488 eV/atom

CIF file:
```
data_KSi2Ru
_cell_length_a 4.0000
_cell_length_b 6.3658
_cell_length_c 7.9835
_cell_angle_alpha 90.00
_cell_angle_beta 90.00
_cell_angle_gamma 90.00
_space_group_name_H-M_alt 'I m m m'
_space_group_IT_number 71
_space_group_name_Hall '-I 2 2'
loop_
_atom_site_label
_atom_site_fract_x
_atom_site_fract_y
_atom_site_fract_z
K1 0.0000 0.0000 0.0000
Si1 0.0000 0.5000 0.1528
Ru1 0.0000 0.0000 0.5000
```



4.
# KSiRu2

Crystalline KSiRu2 at its relaxed geometry (PBE, the Alexandria database).

Computed properties:
- Formation energy without anion corrections: 1.0123 eV/atom

CIF file:
```
data_KSiRu2
_cell_length_a 6.4394
_cell_length_b 6.4394
_cell_length_c 6.4394
_cell_angle_alpha 90.00
_cell_angle_beta 90.00
_cell_angle_gamma 90.00
_space_group_name_H-M_alt 'F -4 3 m'
_space_group_IT_number 216
_space_group_name_Hall 'F -4 2 3'
loop_
_atom_site_label
_atom_site_fract_x
_atom_site_fract_y
_atom_site_fract_z
K1 0.0000 0.0000 0.0000
Si1 0.2500 0.2500 0.2500
Ru1 0.0000 0.0000 0.5000
Ru2 0.2500 0.2500 0.7500
```



5.
# KSiRu2

Crystalline KSiRu2 at its relaxed geometry (PBE, the Alexandria database).

Computed properties:
- Formation energy without anion corrections: 1.0716 eV/atom

CIF file:
```
data_KSiRu2
_cell_length_a 6.0607
_cell_length_b 8.6429
_cell_length_c 2.5558
_cell_angle_alpha 90.00
_cell_angle_beta 90.00
_cell_angle_gamma 90.00
_space_group_name_H-M_alt 'C m m m'
_space_group_IT_number 65
_space_group_name_Hall '-C 2 2'
loop_
_atom_site_label
_atom_site_fract_x
_atom_site_fract_y
_atom_site_fract_z
K1 0.0000 0.0000 0.0000
Si1 0.0000 0.5000 0.0000
Ru1 0.2500 0.2500 0.5000
```



6.
# KSi2Ru

Crystalline KSi2Ru at its relaxed geometry (PBE, the Alexandria database).

Computed properties:
- Formation energy without anion corrections: 0.8582 eV/atom

CIF file:
```
data_KSi2Ru
_cell_length_a 5.8149
_cell_length_b 9.0259
_cell_length_c 2.6647
_cell_angle_alpha 90.00
_cell_angle_beta 90.00
_cell_angle_gamma 90.00
_space_group_name_H-M_alt 'C m m m'
_space_group_IT_number 65
_space_group_name_Hall '-C 2 2'
loop_
_atom_site_label
_atom_site_fract_x
_atom_site_fract_y
_atom_site_fract_z
K1 0.0000 0.0000 0.0000
Si1 0.2500 0.2500 0.5000
Ru1 0.0000 0.5000 0.0000
```



7.
# KSiRu

Crystalline KSiRu at its relaxed geometry (PBE, the Alexandria database).

Computed properties:
- Formation energy without anion corrections: 0.0858 eV/atom

CIF file:
```
data_KSiRu
_cell_length_a 3.2468
_cell_length_b 3.2468
_cell_length_c 12.3269
_cell_angle_alpha 90.00
_cell_angle_beta 90.00
_cell_angle_gamma 90.00
_space_group_name_H-M_alt 'I 4 m m'
_space_group_IT_number 107
_space_group_name_Hall 'I 4 -2'
loop_
_atom_site_label
_atom_site_fract_x
_atom_site_fract_y
_atom_site_fract_z
K1 0.0000 0.0000 0.0000
Si1 0.0000 0.0000 0.7245
Ru1 0.0000 0.0000 0.2758
```



8.
# KSiRu2

Crystalline KSiRu2 at its relaxed geometry (PBE, the Alexandria database).

Computed properties:
- Formation energy without anion corrections: 0.7120 eV/atom

CIF file:
```
data_KSiRu2
_cell_length_a 4.8135
_cell_length_b 4.8135
_cell_length_c 16.6749
_cell_angle_alpha 90.00
_cell_angle_beta 90.00
_cell_angle_gamma 90.00
_space_group_name_H-M_alt 'I -4 2 d'
_space_group_IT_number 122
_space_group_name_Hall 'I -4 2bw'
loop_
_atom_site_label
_atom_site_fract_x
_atom_site_fract_y
_atom_site_fract_z
K1 0.0000 0.0000 0.0000
Si1 0.0000 0.0000 0.5000
Ru1 0.0306 0.2500 0.6250
```